Entry 1:
Be2NiIr: single point on PBEsol structure, SCAN.

Properties
E above lowest polymorph in eV per atom: 0.2516
Space group: Cm
Density of states at the Fermi level in states/eV per atom: 0.684

Geometry as POSCAR:
```
Be2NiIr
1.0
2.7084 0.0000 0.0000
0.0000 3.7985 -0.0052
-1.3542 -1.4086 3.9282
Be Ir Ni
2 1 1
Direct
0.9977 0.0419 0.9955 Be
0.2555 0.7148 0.5110 Be
0.5048 0.5487 0.0096 Ir
0.7419 0.1946 0.4839 Ni
```


Entry 2:
Hg2MoIr: single point on PBEsol structure, SCAN.

Properties
E above lowest polymorph in eV per atom: 0.1094
Space group: P2/m
Density of states at the Fermi level in states/eV per atom: 0.516

Geometry as POSCAR:
```
Hg2MoIr
1.0
-1.4071 1.5549 -1.9492
-4.1308 -0.7956 2.3473
0.8582 3.9918 2.8633
Hg Mo Ir
2 1 1
Direct
0.7237 0.0000 0.7507 Hg
0.2763 0.0000 0.2493 Hg
0.0000 0.5000 0.5000 Mo
0.5000 0.5000 0.0000 Ir
```


Entry 3:
K2As: single point on PBEsol structure, SCAN.

Properties
Total energy in eV per atom: -12.62
Space group: Immm
Density of states at the Fermi level in states/eV per atom: 0.247

Geometry as POSCAR:
```
K2As
1.0
-2.6236 -2.2288 0.2833
2.9685 -3.1652 2.5898
-1.5899 4.9170 2.9014
K As
2 1
Direct
0.3459 0.8459 0.6918 K
0.6541 0.1541 0.3082 K
0.0000 0.5000 0.0000 As
```


Entry 4:
AgAu2: single point on PBEsol structure, SCAN.

Properties
E above lowest polymorph in eV per atom: 0.0112
Space group: I4/mmm
Density of states at the Fermi level in states/eV per atom: 0.257

Geometry as POSCAR:
```
AgAu2
1.0
2.8528 0.0000 0.0000
0.0000 2.8528 0.0000
-1.4264 -1.4264 6.1768
Ag Au
1 2
Direct
0.5000 0.5000 0.0000 Ag
0.1655 0.1655 0.3309 Au
0.8345 0.8345 0.6691 Au
```